[1]
Below is an optimized crystal structure of ErZnPt2, with properties calculated at the PBE level.

The value obtained for the formation energy is -338 kJ/mol of formula units. The total energy is -5.35 eV per atom.

Lattice parameters (Å, degrees): 4.231 4.231 3.916 90.00 90.00 90.00
Atoms (fractional coordinates):
Er  0.000  0.000  0.000
Zn  0.500  0.500  0.000
Pt  0.000  0.500  0.500
Pt  0.500  0.000  0.500

***

[2]
Below is an optimized crystal structure of Er3Zn2Pt3, with properties calculated at the PBE level.

The value obtained for the formation energy is -745 kJ/mol of formula units. The total energy is -5.26 eV per atom.

Lattice parameters (Å, degrees): 8.253 8.253 5.551 90.00 90.00 120.00
Atoms (fractional coordinates):
Er  0.000  0.277  0.250
Er  0.000  0.723  0.750
Er  0.277  0.000  0.250
Er  0.277  0.277  0.750
Er  0.723  0.000  0.750
Er  0.723  0.723  0.250
Zn  0.333  0.667  0.000
Zn  0.333  0.667  0.500
Zn  0.667  0.333  0.000
Zn  0.667  0.333  0.500
Pt  0.000  0.385  0.750
Pt  0.000  0.615  0.250
Pt  0.385  0.000  0.750
Pt  0.385  0.385  0.250
Pt  0.615  0.000  0.250
Pt  0.615  0.615  0.750

***

[3]
Below is an optimized crystal structure of ErZn2Pt2, with properties calculated at the PBE level.

The value obtained for the formation energy is -380 kJ/mol of formula units. The total energy is -4.63 eV per atom.

Lattice parameters (Å, degrees): 4.854 4.605 8.205 90.00 101.24 90.00
Atoms (fractional coordinates):
Er  0.199  0.250  0.273
Er  0.801  0.750  0.727
Zn  0.339  0.250  0.652
Zn  0.359  0.750  0.999
Zn  0.641  0.250  0.001
Zn  0.661  0.750  0.348
Pt  0.110  0.250  0.907
Pt  0.208  0.750  0.495
Pt  0.792  0.250  0.505
Pt  0.890  0.750  0.093

***

[4]
Below is an optimized crystal structure of Er8Zn2Pt, with properties calculated at the PBE level.

The value obtained for the formation energy is -363 kJ/mol of formula units. The total energy is -4.44 eV per atom.

Lattice parameters (Å, degrees): 9.087 9.087 6.691 103.36 103.36 32.13
Atoms (fractional coordinates):
Er  0.027  0.027  0.278
Er  0.205  0.205  0.824
Er  0.340  0.340  0.531
Er  0.410  0.410  0.056
Er  0.590  0.590  0.944
Er  0.660  0.660  0.469
Er  0.795  0.795  0.176
Er  0.973  0.973  0.722
Zn  0.189  0.189  0.233
Zn  0.811  0.811  0.767
Pt  0.500  0.500  0.500

***

[5]
Below is an optimized crystal structure of Er3Zn9Pt2, with properties calculated at the PBE level.

The value obtained for the formation energy is -697 kJ/mol of formula units. The total energy is -3.18 eV per atom.

Lattice parameters (Å, degrees): 8.151 8.151 8.151 149.69 113.89 74.43
Atoms (fractional coordinates):
Er  0.000  0.000  0.000
Er  0.311  0.311  0.000
Er  0.689  0.689  0.000
Zn  0.033  0.673  0.360
Zn  0.149  0.871  0.279
Zn  0.313  0.673  0.640
Zn  0.408  0.129  0.279
Zn  0.500  0.000  0.500
Zn  0.592  0.871  0.721
Zn  0.687  0.327  0.360
Zn  0.851  0.129  0.721
Zn  0.967  0.327  0.640
Pt  0.294  0.500  0.794
Pt  0.706  0.500  0.206

***

[6]
Below is an optimized crystal structure of Er2Zr3Pt4, with properties calculated at the PBE level.

The value obtained for the formation energy is -909 kJ/mol of formula units. The total energy is -7.59 eV per atom.

Lattice parameters (Å, degrees): 7.023 7.867 7.320 90.00 109.84 90.00
Atoms (fractional coordinates):
Er  0.192  0.173  0.068
Er  0.192  0.327  0.568
Er  0.808  0.673  0.432
Er  0.808  0.827  0.932
Zr  0.251  0.666  0.253
Zr  0.251  0.834  0.753
Zr  0.500  0.000  0.500
Zr  0.500  0.500  0.000
Zr  0.749  0.166  0.247
Zr  0.749  0.334  0.747
Pt  0.085  0.547  0.856
Pt  0.085  0.953  0.356
Pt  0.494  0.131  0.867
Pt  0.494  0.369  0.367
Pt  0.506  0.631  0.633
Pt  0.506  0.869  0.133
Pt  0.915  0.047  0.644
Pt  0.915  0.453  0.144